Record 1
The following is a PBE calculation of a relaxed Rb2HgPd crystal, from the Alexandria database.

Values from the calculation:
DOS at the Fermi energy ... 3.6 states/eV/cell
E_form ... -0.6 eV/f.u.

Structure (CIF):
```
data_Rb2HgPd
_cell_length_a 8.3334
_cell_length_b 4.8104
_cell_length_c 9.4723
_cell_angle_alpha 90.00
_cell_angle_beta 107.18
_cell_angle_gamma 90.00
_symmetry_space_group_name_H-M 'C 1 m 1'
_symmetry_Int_Tables_number 8
loop_
_symmetry_equiv_pos_as_xyz
'x,y,z'
'x,-y,z'
'x+1/2,y+1/2,z'
'x+1/2,-y+1/2,z'
loop_
_atom_site_label
_atom_site_type_symbol
_atom_site_fract_x
_atom_site_fract_y
_atom_site_fract_z
Rb1 Rb 0.0000 0.0000 0.0000
Rb2 Rb 0.1727 0.0000 0.5156
Hg1 Hg 0.4196 0.0000 0.2576
Pd1 Pd 0.2531 0.5000 0.2582
```

Record 2
The following is a PBE calculation of a relaxed BaY2In2 crystal, from the Alexandria database.

Values from the calculation:
DOS at the Fermi energy ... 8.8 states/eV/cell
E_form ... -0.5 eV/f.u.

Structure (CIF):
```
data_BaY2In2
_cell_length_a 5.6551
_cell_length_b 5.6551
_cell_length_c 11.8823
_cell_angle_alpha 90.00
_cell_angle_beta 90.00
_cell_angle_gamma 90.00
_symmetry_space_group_name_H-M 'I 4/m m m'
_symmetry_Int_Tables_number 139
_symmetry_space_group_name_Hall '-I 4 2'
loop_
_atom_site_label
_atom_site_type_symbol
_atom_site_fract_x
_atom_site_fract_y
_atom_site_fract_z
Ba1 Ba 0.0000 0.0000 0.0000
Y1 Y 0.0000 0.0000 0.3436
In1 In 0.0000 0.5000 0.2500
```

Record 3
The following is a PBE calculation of a relaxed AcUCo2 crystal, from the Alexandria database.

Values from the calculation:
DOS at the Fermi energy ... 19.9 states/eV/cell
E_form ... 2.0 eV/f.u.

Structure (CIF):
```
data_AcUCo2
_cell_length_a 3.4998
_cell_length_b 3.4998
_cell_length_c 26.1365
_cell_angle_alpha 90.00
_cell_angle_beta 90.00
_cell_angle_gamma 120.00
_symmetry_space_group_name_H-M 'R -3 m'
_symmetry_Int_Tables_number 166
_symmetry_space_group_name_Hall '-R 3 2"'
loop_
_atom_site_label
_atom_site_type_symbol
_atom_site_fract_x
_atom_site_fract_y
_atom_site_fract_z
Ac1 Ac 0.0000 0.0000 0.0000
U1 U 0.0000 0.0000 0.5000
Co1 Co 0.0000 0.0000 0.1098
```

Record 4
The following is a PBE calculation of a relaxed Mn2Ag2AsS6 crystal, from the Alexandria database.

Values from the calculation:
DOS at the Fermi energy ... 5.7 states/eV/cell
ΔE_f (raw) ... -0.28 eV per atom

Structure (CIF):
```
data_Mn2Ag2AsS6
_cell_length_a 6.1705
_cell_length_b 10.5536
_cell_length_c 6.6404
_cell_angle_alpha 90.00
_cell_angle_beta 101.47
_cell_angle_gamma 90.00
_symmetry_space_group_name_H-M 'C 1 2/m 1'
_symmetry_Int_Tables_number 12
loop_
_symmetry_equiv_pos_as_xyz
'x,y,z'
'-x,-y,-z'
'-x,y,-z'
'x,-y,z'
'x+1/2,y+1/2,z'
'-x+1/2,-y+1/2,-z'
'-x+1/2,y+1/2,-z'
'x+1/2,-y+1/2,z'
loop_
_atom_site_label
_atom_site_type_symbol
_atom_site_fract_x
_atom_site_fract_y
_atom_site_fract_z
Mn1 Mn 0.0000 0.1659 0.0000
Ag1 Ag 0.0000 0.3558 0.5000
As1 As 0.0000 0.5000 0.0000
S1 S 0.1959 0.0000 0.2041
S2 S 0.2082 0.3243 0.2107
```

Record 5
The following is a PBE calculation of a relaxed ZrRe5 crystal, from the Alexandria database.

Values from the calculation:
DOS at the Fermi energy ... 25.5 states/eV/cell
E_form ... 0.4 eV/f.u.

Structure (CIF):
```
data_ZrRe5
_cell_length_a 7.3563
_cell_length_b 7.3563
_cell_length_c 7.3563
_cell_angle_alpha 90.00
_cell_angle_beta 90.00
_cell_angle_gamma 90.00
_symmetry_space_group_name_H-M 'F -4 3 m'
_symmetry_Int_Tables_number 216
_symmetry_space_group_name_Hall 'F -4 2 3'
loop_
_atom_site_label
_atom_site_type_symbol
_atom_site_fract_x
_atom_site_fract_y
_atom_site_fract_z
Zr1 Zr 0.0000 0.0000 0.0000
Re1 Re 0.1260 0.1260 0.3740
Re2 Re 0.2500 0.2500 0.7500
```

Record 6
The following is a PBE calculation of a relaxed YPaSn crystal, from the Alexandria database.

Values from the calculation:
DOS at the Fermi energy ... 10.7 states/eV/cell
E_form ... -0.2 eV/f.u.

Structure (CIF):
```
data_YPaSn
_cell_length_a 3.9824
_cell_length_b 3.9824
_cell_length_c 10.3434
_cell_angle_alpha 90.00
_cell_angle_beta 90.00
_cell_angle_gamma 90.00
_symmetry_space_group_name_H-M 'I 4 m m'
_symmetry_Int_Tables_number 107
_symmetry_space_group_name_Hall 'I 4 -2'
loop_
_atom_site_label
_atom_site_type_symbol
_atom_site_fract_x
_atom_site_fract_y
_atom_site_fract_z
Y1 Y 0.0000 0.0000 0.0000
Pa1 Pa 0.0000 0.0000 0.3046
Sn1 Sn 0.0000 0.0000 0.6478
```

Record 7
The following is a PBE calculation of a relaxed K2VCrMo crystal, from the Alexandria database.

Values from the calculation:
DOS at the Fermi energy ... 6.3 states/eV/cell
E_form ... 9.3 eV/f.u.

Structure (CIF):
```
data_K2VCrMo
_cell_length_a 6.3224
_cell_length_b 6.3224
_cell_length_c 4.5551
_cell_angle_alpha 90.00
_cell_angle_beta 90.00
_cell_angle_gamma 90.00
_symmetry_space_group_name_H-M 'P 4/m m m'
_symmetry_Int_Tables_number 123
_symmetry_space_group_name_Hall '-P 4 2'
loop_
_atom_site_label
_atom_site_type_symbol
_atom_site_fract_x
_atom_site_fract_y
_atom_site_fract_z
K1 K 0.0000 0.5000 0.0000
V1 V 0.0000 0.0000 0.5000
Cr1 Cr 0.5000 0.5000 0.0000
Mo1 Mo 0.5000 0.5000 0.5000
```

Record 8
The following is a PBE calculation of a relaxed Be2CrPdPt crystal, from the Alexandria database.

Values from the calculation:
DOS at the Fermi energy ... 5.3 states/eV/cell
E_form ... 4.2 eV/f.u.

Structure (CIF):
```
data_Be2CrPdPt
_cell_length_a 4.0900
_cell_length_b 4.0900
_cell_length_c 4.5317
_cell_angle_alpha 90.00
_cell_angle_beta 90.00
_cell_angle_gamma 90.00
_symmetry_space_group_name_H-M 'P 4/m m m'
_symmetry_Int_Tables_number 123
_symmetry_space_group_name_Hall '-P 4 2'
loop_
_atom_site_label
_atom_site_type_symbol
_atom_site_fract_x
_atom_site_fract_y
_atom_site_fract_z
Be1 Be 0.0000 0.5000 0.0000
Cr1 Cr 0.0000 0.0000 0.5000
Pd1 Pd 0.0000 0.0000 0.0000
Pt1 Pt 0.5000 0.5000 0.5000
```

Record 9
The following is a PBE calculation of a relaxed NpScN crystal, from the Alexandria database.

Values from the calculation:
DOS at the Fermi energy ... 17.6 states/eV/cell
ΔE_f (raw) ... 0.47 eV per atom

Structure (CIF):
```
data_NpScN
_cell_length_a 4.1154
_cell_length_b 4.1154
_cell_length_c 7.1553
_cell_angle_alpha 90.00
_cell_angle_beta 90.00
_cell_angle_gamma 90.00
_symmetry_space_group_name_H-M 'I 4 m m'
_symmetry_Int_Tables_number 107
_symmetry_space_group_name_Hall 'I 4 -2'
loop_
_atom_site_label
_atom_site_type_symbol
_atom_site_fract_x
_atom_site_fract_y
_atom_site_fract_z
Np1 Np 0.0000 0.0000 0.0000
Sc1 Sc 0.0000 0.0000 0.4264
N1 N 0.0000 0.0000 0.7093
```

Record 10
The following is a PBE calculation of a relaxed NbGaHSI crystal, from the Alexandria database.

Values from the calculation:
DOS at the Fermi energy ... 0.2 states/eV/cell
Total energy ... -46.77 eV/cell

Structure (CIF):
```
data_NbGaHSI
_cell_length_a 10.2051
_cell_length_b 3.4351
_cell_length_c 5.5175
_cell_angle_alpha 90.00
_cell_angle_beta 103.26
_cell_angle_gamma 90.00
_symmetry_space_group_name_H-M 'C 1 m 1'
_symmetry_Int_Tables_number 8
loop_
_symmetry_equiv_pos_as_xyz
'x,y,z'
'x,-y,z'
'x+1/2,y+1/2,z'
'x+1/2,-y+1/2,z'
loop_
_atom_site_label
_atom_site_type_symbol
_atom_site_fract_x
_atom_site_fract_y
_atom_site_fract_z
Nb1 Nb 0.0000 0.0000 0.0000
Ga1 Ga 0.0594 0.0000 0.5295
H1 H 0.4724 0.0000 0.1732
S1 S 0.3955 0.0000 0.6798
I1 I 0.2320 0.5000 0.1227
```

Record 11
The following is a PBE calculation of a relaxed Zn24Cu5 crystal, from the Alexandria database.

Values from the calculation:
DOS at the Fermi energy ... 12.6 states/eV/cell
E_form ... 1.3 eV/f.u.

Structure (CIF):
```
data_Zn24Cu5
_cell_length_a 9.4491
_cell_length_b 9.4491
_cell_length_c 9.4491
_cell_angle_alpha 90.00
_cell_angle_beta 90.00
_cell_angle_gamma 90.00
_symmetry_space_group_name_H-M 'I -4 3 m'
_symmetry_Int_Tables_number 217
_symmetry_space_group_name_Hall 'I -4 2 3'
loop_
_atom_site_label
_atom_site_type_symbol
_atom_site_fract_x
_atom_site_fract_y
_atom_site_fract_z
Zn1 Zn 0.0551 0.3631 0.6369
Zn2 Zn 0.0935 0.0935 0.7177
Cu1 Cu 0.0000 0.0000 0.0000
Cu2 Cu 0.1639 0.1639 0.1639
```

Record 12
The following is a PBE calculation of a relaxed TmScB4 crystal, from the Alexandria database.

Values from the calculation:
DOS at the Fermi energy ... 3.4 states/eV/cell
E_form ... -3.6 eV/f.u.

Structure (CIF):
```
data_TmScB4
_cell_length_a 3.4054
_cell_length_b 3.4054
_cell_length_c 11.2317
_cell_angle_alpha 90.00
_cell_angle_beta 90.00
_cell_angle_gamma 90.00
_symmetry_space_group_name_H-M 'I -4 m 2'
_symmetry_Int_Tables_number 119
_symmetry_space_group_name_Hall 'I -4 -2'
loop_
_atom_site_label
_atom_site_type_symbol
_atom_site_fract_x
_atom_site_fract_y
_atom_site_fract_z
Tm1 Tm 0.0000 0.0000 0.0000
Sc1 Sc 0.0000 0.5000 0.7500
B1 B 0.0000 0.0000 0.4159
B2 B 0.0000 0.5000 0.1714
```

Record 13
The following is a PBE calculation of a relaxed In4SiPb crystal, from the Alexandria database.

Values from the calculation:
DOS at the Fermi energy ... 9.2 states/eV/cell
ΔE_f (raw) ... 0.37 eV per atom

Structure (CIF):
```
data_In4SiPb
_cell_length_a 8.6894
_cell_length_b 8.6894
_cell_length_c 8.6894
_cell_angle_alpha 90.00
_cell_angle_beta 90.00
_cell_angle_gamma 90.00
_symmetry_space_group_name_H-M 'F -4 3 m'
_symmetry_Int_Tables_number 216
_symmetry_space_group_name_Hall 'F -4 2 3'
loop_
_atom_site_label
_atom_site_type_symbol
_atom_site_fract_x
_atom_site_fract_y
_atom_site_fract_z
In1 In 0.1254 0.1254 0.1254
Si1 Si 0.0000 0.0000 0.5000
Pb1 Pb 0.2500 0.2500 0.7500
```